Computed, not measured: an optimized crystal structure of ZnSbRh2 at the PBEsol level of DFT.

Computed properties:
ΔE_f (raw), eV/atom: -0.3041
Space group: P4/mmm (123)
Volume, Å³/atom: 15.1
Theoretical density, g/cm3: 10.816

Unit cell a=3.196 b=3.196 c=5.908 alpha=90.00 beta=90.00 gamma=90.00
Positions (direct):
Sb 0.500 0.500 0.000
Rh 0.000 0.000 0.744
Zn 0.500 0.500 0.500
Rh 0.000 0.000 0.256